Entry 1:
Material: BaPdI4O12
Method: DFT, PBE-GGA
State: optimized geometry

Cell lengths 6.036, 7.541, 8.171 Å; angles 105.15, 94.93, 112.88 degrees
Atoms (fractional coordinates):
1 Ba 0.000 0.000 0.000
2 Pd 0.225 0.999 0.472
3 I 0.298 0.638 0.174
4 I 0.307 0.705 0.694
5 I 0.608 0.347 0.846
6 I 0.684 0.299 0.337
7 O 0.027 0.393 0.085
8 O 0.090 0.796 0.601
9 O 0.107 0.783 0.237
10 O 0.183 0.712 0.893
11 O 0.298 0.220 0.697
12 O 0.345 0.201 0.341
13 O 0.406 0.630 0.386
14 O 0.479 0.305 0.036
15 O 0.585 0.945 0.774
16 O 0.632 0.604 0.882
17 O 0.699 0.059 0.232
18 O 0.813 0.347 0.564

Calculated values
For the energy relative to the elements, uncorrected, the calculation gives -0.683 eV/atom. As for the space group: No. 1. Its total energy is -4.729 eV/atom.

---

Entry 2:
Material: Ba6Pd2I3O
Method: DFT, PBE-GGA
State: optimized geometry

Cell lengths 7.818, 7.818, 8.987 Å; angles 98.42, 98.42, 119.75 degrees
Atoms (fractional coordinates):
1 Ba 0.063 0.366 0.190
2 Ba 0.243 0.243 0.804
3 Ba 0.366 0.063 0.190
4 Ba 0.634 0.937 0.810
5 Ba 0.757 0.757 0.196
6 Ba 0.937 0.634 0.810
7 Pd 0.334 0.666 0.000
8 Pd 0.666 0.334 0.000
9 I 0.172 0.828 0.500
10 I 0.500 0.500 0.500
11 I 0.828 0.172 0.500
12 O 0.000 0.000 0.000

Calculated values
For the energy relative to the elements, uncorrected, the calculation gives -1.253 eV/atom. As for the space group: No. 12. Its total energy is -3.881 eV/atom.

---

Entry 3:
Material: Ba2PrIO6
Method: DFT, PBE-GGA
State: optimized geometry

Cell lengths 6.288, 6.288, 6.288 Å; angles 60.00, 60.00, 60.00 degrees
Atoms (fractional coordinates):
1 Ba 0.250 0.250 0.250
2 Ba 0.750 0.750 0.750
3 Pr 0.000 0.000 0.000
4 I 0.500 0.500 0.500
5 O 0.263 0.263 0.737
6 O 0.263 0.737 0.263
7 O 0.263 0.737 0.737
8 O 0.737 0.263 0.263
9 O 0.737 0.263 0.737
10 O 0.737 0.737 0.263

Calculated values
For the energy relative to the elements, uncorrected, the calculation gives -2.068 eV/atom. As for the space group: No. 225. Its total energy is -6.060 eV/atom.

---

Entry 4:
Material: Ba3PtIO
Method: DFT, PBE-GGA
State: optimized geometry

Cell lengths 10.427, 4.541, 10.556 Å; angles 90.00, 104.48, 90.00 degrees
Atoms (fractional coordinates):
1 Ba 0.058 0.250 0.347
2 Ba 0.342 0.250 0.974
3 Ba 0.365 0.750 0.657
4 Ba 0.635 0.250 0.343
5 Ba 0.658 0.750 0.026
6 Ba 0.942 0.750 0.653
7 Pt 0.151 0.250 0.650
8 Pt 0.849 0.750 0.350
9 I 0.329 0.750 0.281
10 I 0.671 0.250 0.719
11 O 0.418 0.750 0.896
12 O 0.582 0.250 0.104

Calculated values
For the energy relative to the elements, uncorrected, the calculation gives -1.549 eV/atom. As for the space group: No. 11. Its total energy is -4.602 eV/atom.